PaAlCuHg | PBE-GGA | relaxed

```
PaAlCuHg
1.0
6.867 0.000 0.000
0.000 6.867 0.000
0.000 0.000 6.867
Pa Al Cu Hg
4 4 4 4
Cartesian
0.000 0.000 0.000 Pa
0.000 3.433 3.433 Pa
3.433 0.000 3.433 Pa
3.433 3.433 0.000 Pa
0.000 0.000 3.433 Al
0.000 3.433 0.000 Al
3.433 0.000 0.000 Al
3.433 3.433 3.433 Al
1.717 1.717 5.150 Cu
1.717 5.150 1.717 Cu
5.150 1.717 1.717 Cu
5.150 5.150 5.150 Cu
1.717 1.717 1.717 Hg
1.717 5.150 5.150 Hg
5.150 1.717 5.150 Hg
5.150 5.150 1.717 Hg
```

Values from the calculation:
Energy relative to the elements: 16.1 kJ/mol of formula units
SG: F-43m, No. 216
DFT total energy: -69.9 eV for the cell shown



Pm2Al4Cu3Hg | PBE-GGA | relaxed

```
Pm2Al4Cu3Hg
1.0
4.271 0.000 0.000
0.000 4.271 0.000
0.000 0.000 10.410
Pm Al Cu Hg
2 4 3 1
Cartesian
0.000 2.136 2.523 Pm
2.136 0.000 7.887 Pm
0.000 0.000 0.000 Al
0.000 2.136 6.743 Al
2.136 0.000 3.667 Al
2.136 2.136 0.000 Al
0.000 2.136 9.134 Cu
2.136 0.000 1.276 Cu
2.136 2.136 5.205 Cu
0.000 0.000 5.205 Hg
```

Values from the calculation:
Energy relative to the elements: -380.8 kJ/mol of formula units
SG: P-4m2, No. 115
DFT total energy: -41.0 eV for the cell shown



Al2CuHgS | PBE-GGA | relaxed

```
Al2CuHgS
1.0
4.623 0.000 0.000
0.000 4.623 0.000
0.000 0.000 4.990
Al Cu Hg S
2 1 1 1
Cartesian
0.000 2.312 0.000 Al
2.312 0.000 0.000 Al
0.000 0.000 0.000 Cu
0.000 0.000 2.495 Hg
2.312 2.312 2.495 S
```

Values from the calculation:
SG: P4/mmm, No. 123
DFT total energy: -14.5 eV for the cell shown
ΔE_f (raw): 0.31 eV per atom



ScAlCuHg | PBE-GGA | relaxed

```
ScAlCuHg
1.0
6.556 0.000 0.000
0.000 6.556 0.000
0.000 0.000 6.556
Sc Al Cu Hg
4 4 4 4
Cartesian
0.000 0.000 0.000 Sc
0.000 3.278 3.278 Sc
3.278 0.000 3.278 Sc
3.278 3.278 0.000 Sc
0.000 0.000 3.278 Al
0.000 3.278 0.000 Al
3.278 0.000 0.000 Al
3.278 3.278 3.278 Al
1.639 1.639 4.917 Cu
1.639 4.917 1.639 Cu
4.917 1.639 1.639 Cu
4.917 4.917 4.917 Cu
1.639 1.639 1.639 Hg
1.639 4.917 4.917 Hg
4.917 1.639 4.917 Hg
4.917 4.917 1.639 Hg
```

Values from the calculation:
Energy relative to the elements: -98.9 kJ/mol of formula units
SG: F-43m, No. 216
DFT total energy: -62.0 eV for the cell shown



AlCuHg2Se4 | PBE-GGA | relaxed

```
AlCuHg2Se4
1.0
5.987 0.000 0.000
0.000 5.987 0.000
0.000 0.000 11.701
Al Cu Hg Se
2 2 4 8
Cartesian
0.000 0.000 0.000 Al
2.994 2.994 5.850 Al
0.000 2.994 2.925 Cu
2.994 0.000 8.776 Cu
0.000 0.000 5.850 Hg
0.000 2.994 8.776 Hg
2.994 0.000 2.925 Hg
2.994 2.994 0.000 Hg
1.249 4.495 1.471 Se
1.492 1.249 10.229 Se
1.502 1.745 4.379 Se
1.745 4.485 7.322 Se
4.243 1.502 7.322 Se
4.485 4.243 4.379 Se
4.495 4.738 10.229 Se
4.738 1.492 1.471 Se
```

Values from the calculation:
SG: I-4, No. 82
DFT total energy: -51.5 eV for the cell shown
ΔE_f (raw): -0.42 eV per atom



AlCu2HgSe4 | PBE-GGA | relaxed

```
AlCu2HgSe4
1.0
5.775 0.000 0.000
0.000 5.775 0.000
0.000 0.000 11.407
Al Cu Hg Se
2 4 2 8
Cartesian
0.000 0.000 0.000 Al
2.888 2.888 5.703 Al
0.000 2.888 2.852 Cu
0.000 2.888 8.555 Cu
2.888 0.000 2.852 Cu
2.888 0.000 8.555 Cu
0.000 0.000 5.703 Hg
2.888 2.888 0.000 Hg
1.332 1.332 9.868 Se
1.332 4.443 1.539 Se
1.556 1.556 4.165 Se
1.556 4.219 7.242 Se
4.219 1.556 7.242 Se
4.219 4.219 4.165 Se
4.443 1.332 1.539 Se
4.443 4.443 9.868 Se
```

Values from the calculation:
SG: I-42m, No. 121
DFT total energy: -58.7 eV for the cell shown
ΔE_f (raw): -0.39 eV per atom



SmAlCuHg | PBE-GGA | relaxed

```
SmAlCuHg
1.0
6.897 0.000 0.000
0.000 6.897 0.000
0.000 0.000 6.897
Sm Al Cu Hg
4 4 4 4
Cartesian
0.000 0.000 0.000 Sm
0.000 3.448 3.448 Sm
3.448 0.000 3.448 Sm
3.448 3.448 0.000 Sm
0.000 0.000 3.448 Al
0.000 3.448 0.000 Al
3.448 0.000 0.000 Al
3.448 3.448 3.448 Al
1.724 1.724 1.724 Cu
1.724 5.173 5.173 Cu
5.173 1.724 5.173 Cu
5.173 5.173 1.724 Cu
1.724 1.724 5.173 Hg
1.724 5.173 1.724 Hg
5.173 1.724 1.724 Hg
5.173 5.173 5.173 Hg
```

Values from the calculation:
Energy relative to the elements: -98.9 kJ/mol of formula units
SG: F-43m, No. 216
DFT total energy: -55.5 eV for the cell shown



SmAl3CuHg | PBE-GGA | relaxed

```
SmAl3CuHg
1.0
2.993 -6.551 0.000
2.993 6.551 0.000
0.000 0.000 6.121
Sm Al Cu Hg
2 6 2 2
Cartesian
2.993 3.921 4.590 Sm
2.993 -3.921 1.530 Sm
1.314 0.000 0.000 Al
1.314 0.000 3.060 Al
2.993 1.599 1.530 Al
2.993 -1.599 4.590 Al
4.673 0.000 0.000 Al
4.673 0.000 3.060 Al
2.993 1.085 4.590 Cu
2.993 -1.085 1.530 Cu
2.993 4.386 1.530 Hg
2.993 -4.386 4.590 Hg
```

Values from the calculation:
Energy relative to the elements: -77.0 kJ/mol of formula units
SG: Cmcm, No. 63
DFT total energy: -42.3 eV for the cell shown



Sm2Al4Cu3Hg | PBE-GGA | relaxed

```
Sm2Al4Cu3Hg
1.0
4.254 0.000 0.000
0.000 4.254 0.000
0.000 0.000 10.413
Sm Al Cu Hg
2 4 3 1
Cartesian
0.000 2.127 2.519 Sm
2.127 0.000 7.894 Sm
0.000 0.000 0.000 Al
0.000 2.127 6.748 Al
2.127 0.000 3.665 Al
2.127 2.127 0.000 Al
0.000 2.127 9.131 Cu
2.127 0.000 1.282 Cu
2.127 2.127 5.207 Cu
0.000 0.000 5.207 Hg
```

Values from the calculation:
Energy relative to the elements: -378.1 kJ/mol of formula units
SG: P-4m2, No. 115
DFT total energy: -40.9 eV for the cell shown



Sr2AlCuHg | PBE-GGA | relaxed

```
Sr2AlCuHg
1.0
5.884 0.000 0.000
0.000 5.884 0.000
0.000 0.000 4.605
Sr Al Cu Hg
2 1 1 1
Cartesian
0.000 2.942 0.000 Sr
2.942 0.000 0.000 Sr
0.000 0.000 2.302 Al
0.000 0.000 0.000 Cu
2.942 2.942 2.302 Hg
```

Values from the calculation:
Energy relative to the elements: -79.8 kJ/mol of formula units
SG: P4/mmm, No. 123
DFT total energy: -12.3 eV for the cell shown



Tb2Al4Cu3Hg | PBE-GGA | relaxed

```
Tb2Al4Cu3Hg
1.0
4.202 0.000 0.000
0.000 4.202 0.000
0.000 0.000 10.426
Tb Al Cu Hg
2 4 3 1
Cartesian
0.000 2.101 2.507 Tb
2.101 0.000 7.918 Tb
0.000 0.000 0.000 Al
0.000 2.101 6.766 Al
2.101 0.000 3.659 Al
2.101 2.101 0.000 Al
0.000 2.101 9.124 Cu
2.101 0.000 1.301 Cu
2.101 2.101 5.213 Cu
0.000 0.000 5.213 Hg
```

Values from the calculation:
Energy relative to the elements: -368.4 kJ/mol of formula units
SG: P-4m2, No. 115
DFT total energy: -40.6 eV for the cell shown



AlCuHg2Te4 | PBE-GGA | relaxed

```
AlCuHg2Te4
1.0
8.916 0.000 0.000
0.000 7.808 0.000
0.000 0.000 7.405
Al Cu Hg Te
2 2 4 8
Cartesian
0.000 1.297 0.000 Al
4.458 6.511 3.702 Al
0.000 6.589 3.698 Cu
4.458 1.218 7.401 Cu
2.207 5.237 0.050 Hg
2.251 2.571 3.752 Hg
6.664 2.571 3.752 Hg
6.709 5.237 0.050 Hg
0.000 1.154 2.662 Te
0.000 6.682 6.311 Te
2.182 5.335 2.927 Te
2.276 2.473 6.629 Te
4.458 1.126 2.609 Te
4.458 6.654 6.365 Te
6.640 2.473 6.629 Te
6.734 5.335 2.927 Te
```

Values from the calculation:
SG: Pmn2_1, No. 31
DFT total energy: -45.9 eV for the cell shown
ΔE_f (raw): -0.24 eV per atom